No. 1
First-principles (PBE) data for an optimized crystal structure of HoPa2Cu6, as listed in Alexandria.

```
HoPa2Cu6
1.0
7.572 0.000 0.000
-3.786 6.558 0.000
0.000 0.000 3.163
Ho Pa Cu
1 2 6
Cartesian
0.000 0.000 0.000 Ho
0.000 4.372 0.000 Pa
3.786 2.186 0.000 Pa
-1.262 2.187 1.581 Cu
-2.524 4.371 1.581 Cu
2.525 0.000 1.581 Cu
1.262 2.187 1.581 Cu
5.047 0.000 1.581 Cu
2.524 4.371 1.581 Cu
```

Results
As for the magnetization: 0.45 μB/cell. For the calculated volume, the calculation gives 17.45 A^3/atom. The value obtained for the density is 10.66 Mg/m³. As for the formation energy: -0.11 eV/atom. The value obtained for the density of states at the Fermi level is 7.13 states/eV per cell.


No. 2
First-principles (PBE) data for an optimized crystal structure of Ho2PaCu9, as listed in Alexandria.

```
Ho2PaCu9
1.0
2.579 1.489 8.228
-2.579 1.489 8.228
0.000 -2.978 8.228
Ho Pa Cu
2 1 9
Cartesian
0.000 0.000 3.526 Ho
0.000 0.000 21.158 Ho
0.000 0.000 0.000 Pa
-1.284 -0.741 10.249 Cu
0.000 0.000 8.198 Cu
0.000 -1.483 14.435 Cu
-1.284 0.741 14.435 Cu
0.000 0.000 12.342 Cu
1.284 -0.741 10.249 Cu
0.000 1.483 10.249 Cu
0.000 0.000 16.486 Cu
1.284 0.741 14.435 Cu
```

Results
As for the magnetization: 0.28 μB/cell. For the calculated volume, the calculation gives 15.80 A^3/atom. The value obtained for the density is 9.92 Mg/m³. As for the formation energy: -0.11 eV/atom. The value obtained for the density of states at the Fermi level is 8.34 states/eV per cell.


No. 3
First-principles (PBE) data for an optimized crystal structure of HoPaCuPd, as listed in Alexandria.

```
HoPaCuPd
1.0
0.000 3.484 3.484
3.484 0.000 3.484
3.484 3.484 0.000
Ho Pa Cu Pd
1 1 1 1
Cartesian
0.000 0.000 0.000 Ho
3.484 3.484 3.484 Pa
5.226 5.226 5.226 Cu
1.742 1.742 1.742 Pd
```

Results
As for the magnetization: 0.00 μB/cell. For the calculated volume, the calculation gives 21.15 A^3/atom. The value obtained for the density is 11.11 Mg/m³. As for the formation energy: -0.25 eV/atom. The value obtained for the density of states at the Fermi level is 6.12 states/eV per cell.


No. 4
First-principles (PBE) data for an optimized crystal structure of HoPaCuPt, as listed in Alexandria.

```
HoPaCuPt
1.0
0.000 3.483 3.483
3.483 0.000 3.483
3.483 3.483 0.000
Ho Pa Cu Pt
1 1 1 1
Cartesian
0.000 0.000 0.000 Ho
3.483 3.483 3.483 Pa
1.741 1.741 1.741 Cu
5.224 5.224 5.224 Pt
```

Results
As for the magnetization: 0.00 μB/cell. For the calculated volume, the calculation gives 21.12 A^3/atom. The value obtained for the density is 12.87 Mg/m³. As for the formation energy: -0.48 eV/atom. The value obtained for the density of states at the Fermi level is 6.74 states/eV per cell.


No. 5
First-principles (PBE) data for an optimized crystal structure of HoPaCuRh, as listed in Alexandria.

```
HoPaCuRh
1.0
0.000 3.447 3.447
3.447 0.000 3.447
3.447 3.447 0.000
Ho Pa Cu Rh
1 1 1 1
Cartesian
0.000 0.000 0.000 Ho
3.447 3.447 3.447 Pa
1.723 1.723 1.723 Cu
5.170 5.170 5.170 Rh
```

Results
As for the magnetization: 0.46 μB/cell. For the calculated volume, the calculation gives 20.48 A^3/atom. The value obtained for the density is 11.40 Mg/m³. As for the formation energy: -0.34 eV/atom. The value obtained for the density of states at the Fermi level is 5.81 states/eV per cell.


No. 6
First-principles (PBE) data for an optimized crystal structure of HoPaCuRu, as listed in Alexandria.

```
HoPaCuRu
1.0
0.000 3.430 3.430
3.430 0.000 3.430
3.430 3.430 0.000
Ho Pa Cu Ru
1 1 1 1
Cartesian
0.000 0.000 0.000 Ho
3.430 3.430 3.430 Pa
1.715 1.715 1.715 Cu
5.145 5.145 5.145 Ru
```

Results
As for the magnetization: 0.00 μB/cell. For the calculated volume, the calculation gives 20.18 A^3/atom. The value obtained for the density is 11.53 Mg/m³. As for the formation energy: -0.21 eV/atom. The value obtained for the density of states at the Fermi level is 4.07 states/eV per cell.


Repeat the first record exactly.
First-principles (PBE) data for an optimized crystal structure of HoPa2Cu6, as listed in Alexandria.

```
HoPa2Cu6
1.0
7.572 0.000 0.000
-3.786 6.558 0.000
0.000 0.000 3.163
Ho Pa Cu
1 2 6
Cartesian
0.000 0.000 0.000 Ho
0.000 4.372 0.000 Pa
3.786 2.186 0.000 Pa
-1.262 2.187 1.581 Cu
-2.524 4.371 1.581 Cu
2.525 0.000 1.581 Cu
1.262 2.187 1.581 Cu
5.047 0.000 1.581 Cu
2.524 4.371 1.581 Cu
```

Results
As for the magnetization: 0.45 μB/cell. For the calculated volume, the calculation gives 17.45 A^3/atom. The value obtained for the density is 10.66 Mg/m³. As for the formation energy: -0.11 eV/atom. The value obtained for the density of states at the Fermi level is 7.13 states/eV per cell.